# 1
First-principles (PBE-GGA) data for a relaxed RbMg2Zr crystal, as listed in Alexandria via LeMat-Bulk.

Calculated values
Crystal system: cubic
Relative energy among the computed polymorphs: 0 meV per atom
ΔH_f (0 K): 0.72 eV per atom
D(E_F): 4.462 states/eV/f.u.
SG: Fm-3m, No. 225
Electronic total energy: -2.459 eV per atom

Lattice parameters (Å, degrees): 5.541 5.541 5.541 60.00 60.00 60.00
Sites, in units of the cell vectors:
1 Rb 0.000 0.000 0.000
2 Mg 0.250 0.250 0.250
3 Mg 0.750 0.750 0.750
4 Zr 0.500 0.500 0.500

# 2
First-principles (PBE-GGA) data for a relaxed Na2MgHgAs crystal, as listed in Alexandria via LeMat-Bulk.

Calculated values
Crystal system: tetragonal
ΔH_f (0 K): -0.22 eV per atom
D(E_F): 2.006 states/eV/f.u.
SG: P4/mmm, No. 123
Electronic total energy: -2.060 eV per atom

Lattice parameters (Å, degrees): 5.612 5.612 5.068 90.00 90.00 90.00
Sites, in units of the cell vectors:
1 Na 0.000 0.500 0.000
2 Na 0.500 0.000 0.000
3 Mg 0.000 0.000 0.500
4 Hg 0.500 0.500 0.500
5 As 0.000 0.000 0.000

# 3
First-principles (PBE-GGA) data for a relaxed Ac2Ge6Os crystal, as listed in Alexandria via LeMat-Bulk.

Calculated values
Crystal system: monoclinic
ΔH_f (0 K): -0.13 eV per atom
D(E_F): 4.428 states/eV/f.u.
SG: C2/m, No. 12
Electronic total energy: -5.372 eV per atom

Lattice parameters (Å, degrees): 7.778 7.778 4.658 96.87 96.87 54.43
Sites, in units of the cell vectors:
1 Ac 0.159 0.159 0.412
2 Ac 0.841 0.841 0.588
3 Ge 0.164 0.519 0.107
4 Ge 0.318 0.682 0.500
5 Ge 0.481 0.836 0.893
6 Ge 0.519 0.164 0.107
7 Ge 0.682 0.318 0.500
8 Ge 0.836 0.481 0.893
9 Os 0.500 0.500 0.000

# 4
First-principles (PBE-GGA) data for a relaxed Mg6ZnGa10 crystal, as listed in Alexandria via LeMat-Bulk.

Calculated values
Crystal system: trigonal
ΔH_f (0 K): -0.05 eV per atom
D(E_F): 3.392 states/eV/f.u.
SG: P-31m, No. 162
Electronic total energy: -2.471 eV per atom

Lattice parameters (Å, degrees): 8.317 8.317 5.546 90.00 90.00 120.00
Sites, in units of the cell vectors:
1 Mg 0.000 0.354 0.337
2 Mg 0.000 0.646 0.663
3 Mg 0.354 0.000 0.337
4 Mg 0.354 0.354 0.663
5 Mg 0.646 0.000 0.663
6 Mg 0.646 0.646 0.337
7 Zn 0.000 0.000 0.500
8 Ga 0.000 0.279 0.844
9 Ga 0.000 0.721 0.156
10 Ga 0.279 0.000 0.844
11 Ga 0.279 0.279 0.156
12 Ga 0.333 0.667 0.000
13 Ga 0.333 0.667 0.500
14 Ga 0.667 0.333 0.000
15 Ga 0.667 0.333 0.500
16 Ga 0.721 0.000 0.156
17 Ga 0.721 0.721 0.844

| no. | calculated volume (Å³ per atom) |
| --- | --- |
| 1 | 30.1 |
| 2 | 31.9 |
| 3 | 25.2 |
| 4 | 19.5 |